ReTe2P | Alexandria via LeMat-Bulk | PBE | optimized geometry; total magnetic moment = 0.00 μB per formula unit; VASP energy = -5.25 eV/atom
1.0
3.581 0.000 0.000
0.000 2.803 -0.002
0.000 0.004 8.800
Re Te P
1 2 1
Direct
0.500 0.000 0.000
0.000 0.999 0.241
0.000 0.001 0.759
0.500 0.000 0.500

Re2TeP | Alexandria via LeMat-Bulk | PBE | optimized geometry; excess energy over the best structure of this formula in the dataset = 380 meV/atom; total magnetic moment = 0.00 μB per formula unit
1.0
4.437 0.000 0.000
0.000 4.437 0.000
0.000 0.000 3.176
Re Te P
2 1 1
Direct
0.500 0.000 0.000
0.000 0.500 0.000
0.500 0.500 0.500
0.000 0.000 0.500

ReTe2P | Alexandria via LeMat-Bulk | PBE | optimized geometry; total magnetic moment = 0.00 μB per formula unit; VASP energy = -5.59 eV/atom
1.0
0.199 -6.237 2.403
-5.009 -3.524 2.684
2.839 3.371 -5.029
Re Te P
1 2 1
Direct
0.253 0.753 0.500
0.064 0.064 0.000
0.782 0.282 0.500
0.401 0.401 0.000

ReTe2P | Alexandria via LeMat-Bulk | PBE | optimized geometry; total magnetic moment = 0.59 μB per formula unit; VASP energy = -5.21 eV/atom
1.0
-3.047 -3.149 1.981
-1.464 4.390 1.308
0.015 -0.431 -4.790
Re Te P
1 2 1
Direct
0.000 0.000 0.000
0.500 0.000 0.500
0.000 0.500 0.500
0.500 0.500 0.000

ReTe2P | Alexandria via LeMat-Bulk | PBE | optimized geometry; total magnetic moment = 0.00 μB per formula unit; VASP energy = -5.27 eV/atom
1.0
-6.817 -6.565 0.401
-6.330 -6.382 -2.988
-4.301 -8.372 -1.069
Re Te P
1 2 1
Direct
0.500 0.500 0.500
0.099 0.099 0.099
0.901 0.901 0.901
0.000 0.000 0.000

ReTe2P | Alexandria via LeMat-Bulk | PBE | optimized geometry; total magnetic moment = 0.00 μB per formula unit; VASP energy = -5.33 eV/atom
1.0
-0.173 2.921 1.309
0.050 -1.308 2.926
8.036 0.447 0.063
Re Te P
1 2 1
Direct
0.500 0.500 0.500
0.000 0.000 0.715
0.000 0.000 0.285
0.500 0.500 0.000

Re2TeP | Alexandria via LeMat-Bulk | PBE | optimized geometry; excess energy over the best structure of this formula in the dataset = 352 meV/atom; total magnetic moment = 0.00 μB per formula unit
1.0
-3.194 0.043 3.100
-3.618 2.530 -0.567
-3.937 -1.901 -0.835
Re Te P
2 1 1
Direct
0.250 0.250 0.250
0.750 0.750 0.750
0.500 0.500 0.500
0.000 0.000 0.000

ReTe2P | Alexandria via LeMat-Bulk | PBE | optimized geometry; total magnetic moment = 0.00 μB per formula unit; VASP energy = -5.19 eV/atom
1.0
6.587 0.000 0.000
0.000 6.587 0.000
3.293 3.293 5.151
Re Te P
2 4 2
Direct
0.000 0.000 0.000
0.750 0.250 0.500
0.650 0.125 0.250
0.100 0.625 0.250
0.375 0.350 0.750
0.875 0.900 0.750
0.500 0.500 0.000
0.250 0.750 0.500

Re2TeP | Alexandria via LeMat-Bulk | PBE | optimized geometry; excess energy over the best structure of this formula in the dataset = 306 meV/atom; total magnetic moment = 0.00 μB per formula unit
1.0
-0.264 0.222 -4.384
-3.862 -2.101 0.127
-5.800 5.964 -1.554
Re Te P
4 2 2
Direct
0.550 0.125 0.250
0.200 0.625 0.250
0.375 0.450 0.750
0.875 0.800 0.750
0.000 0.000 0.000
0.750 0.250 0.500
0.500 0.500 0.000
0.250 0.750 0.500

Re2TeP | Alexandria via LeMat-Bulk | PBE | optimized geometry; excess energy over the best structure of this formula in the dataset = 110 meV/atom; total magnetic moment = 0.00 μB per formula unit
1.0
-7.781 -5.958 -1.475
-7.646 -6.116 1.531
-9.129 -3.852 0.207
Re Te P
2 1 1
Direct
0.001 0.001 0.001
0.741 0.741 0.741
0.482 0.482 0.482
0.276 0.276 0.276

ReTe2P | Alexandria via LeMat-Bulk | PBE | optimized geometry; total magnetic moment = 0.00 μB per formula unit; VASP energy = -5.81 eV/atom
1.0
-0.088 -1.414 2.733
-2.010 -2.044 -1.122
7.423 -5.788 -2.754
Re Te P
1 2 1
Direct
0.500 0.500 0.726
0.000 0.000 0.913
0.500 0.500 0.269
0.000 0.000 0.592

Re2TeP | Alexandria via LeMat-Bulk | PBE | optimized geometry; excess energy over the best structure of this formula in the dataset = 692 meV/atom; total magnetic moment = 0.00 μB per formula unit
1.0
-1.414 -1.091 4.815
4.614 2.077 -0.880
0.410 3.284 2.261
Re Te P
2 1 1
Direct
0.000 0.500 0.000
0.500 0.000 0.000
0.000 0.000 0.500
0.500 0.500 0.500